No. 1
TmThSc2Se4 PBE optimized geometry; symmetry = P2/m, No. 10; final energy = -6.3799 eV per atom; Fermi-level density of states = 4.94 states/eV/f.u.
1.0
-0.126 -1.934 3.440
6.721 -1.775 -0.752
3.952 4.900 2.900
Tm Sc Th Se
1 2 1 4
Direct
0.000 0.500 0.500 Tm
0.000 0.000 0.000 Sc
0.500 0.000 0.500 Sc
0.500 0.500 0.000 Th
0.000 0.226 0.267 Se
0.000 0.774 0.733 Se
0.500 0.233 0.747 Se
0.500 0.767 0.253 Se



No. 2
Tm2Th3ScSe6 PBE optimized geometry; symmetry = C2/m, No. 12; final energy = -6.4556 eV per atom; Fermi-level density of states = 8.45 states/eV/f.u.
1.0
6.807 0.009 0.002
-3.394 5.901 0.002
-1.136 -1.967 7.217
Se Tm Th Sc
6 2 3 1
Direct
0.598 0.925 0.776 Se
0.402 0.075 0.224 Se
0.075 0.402 0.224 Se
0.252 0.252 0.774 Se
0.925 0.598 0.776 Se
0.748 0.748 0.226 Se
0.666 0.334 0.000 Tm
0.334 0.666 0.000 Tm
0.169 0.831 0.500 Th
0.500 0.500 0.500 Th
0.831 0.169 0.500 Th
0.000 0.000 0.000 Sc